# YPaTl | OQMD via LeMat-Bulk | GGA-PBE | relaxed
data_YPaTl
_cell_length_a 5.177
_cell_length_b 5.177
_cell_length_c 5.177
_cell_angle_alpha 60.00
_cell_angle_beta 60.00
_cell_angle_gamma 60.00
_symmetry_space_group_name_H-M 'P 1'
_symmetry_Int_Tables_number 1
loop_
_symmetry_equiv_pos_as_xyz
'x,y,z'
loop_
_atom_site_label
_atom_site_type_symbol
_atom_site_fract_x
_atom_site_fract_y
_atom_site_fract_z
Y1 Y 0.000 0.000 0.000
Pa1 Pa 0.500 0.500 0.500
Tl1 Tl 0.750 0.750 0.750
# * crystal system: cubic
# * calculated density: 8875 kg/m³
# * total DFT energy (no corrections): -16.7 eV/f.u.
# * energy above the lowest structure with this stoichiometry: 0 meV/atom

=====

# CsCuSnS3 | OQMD via LeMat-Bulk | GGA-PBE | relaxed
data_CsCuSnS3
_cell_length_a 8.783
_cell_length_b 8.783
_cell_length_c 8.822
_cell_angle_alpha 98.15
_cell_angle_beta 98.15
_cell_angle_gamma 26.62
_symmetry_space_group_name_H-M 'P 1'
_symmetry_Int_Tables_number 1
loop_
_symmetry_equiv_pos_as_xyz
'x,y,z'
loop_
_atom_site_label
_atom_site_type_symbol
_atom_site_fract_x
_atom_site_fract_y
_atom_site_fract_z
Cs1 Cs 0.152 0.152 0.059
Cs2 Cs 0.848 0.848 0.941
Cu1 Cu 0.480 0.480 0.248
Cu2 Cu 0.520 0.520 0.752
Sn1 Sn 0.160 0.160 0.556
Sn2 Sn 0.840 0.840 0.444
S1 S 0.000 0.000 0.500
S2 S 0.317 0.317 0.631
S3 S 0.349 0.349 0.257
S4 S 0.500 0.500 0.000
S5 S 0.651 0.651 0.743
S6 S 0.683 0.683 0.369
# * crystal system: monoclinic
# * calculated density: 4529 kg/m³
# * total DFT energy (no corrections): -23.3 eV/f.u.
# * energy above the lowest structure with this stoichiometry: 234 meV/atom

=====

# ErAlGa | OQMD via LeMat-Bulk | GGA-PBE | relaxed
data_ErAlGa
_cell_length_a 4.756
_cell_length_b 4.756
_cell_length_c 4.756
_cell_angle_alpha 60.00
_cell_angle_beta 60.00
_cell_angle_gamma 60.00
_symmetry_space_group_name_H-M 'P 1'
_symmetry_Int_Tables_number 1
loop_
_symmetry_equiv_pos_as_xyz
'x,y,z'
loop_
_atom_site_label
_atom_site_type_symbol
_atom_site_fract_x
_atom_site_fract_y
_atom_site_fract_z
Er1 Er 0.000 0.000 0.000
Al1 Al 0.750 0.750 0.750
Ga1 Ga 0.250 0.250 0.250
# * crystal system: cubic
# * calculated density: 5762 kg/m³
# * total DFT energy (no corrections): -11.1 eV/f.u.

=====

# ZrCdIn2 | OQMD via LeMat-Bulk | GGA-PBE | relaxed
data_ZrCdIn2
_cell_length_a 5.098
_cell_length_b 5.098
_cell_length_c 5.098
_cell_angle_alpha 60.00
_cell_angle_beta 60.00
_cell_angle_gamma 60.00
_symmetry_space_group_name_H-M 'P 1'
_symmetry_Int_Tables_number 1
loop_
_symmetry_equiv_pos_as_xyz
'x,y,z'
loop_
_atom_site_label
_atom_site_type_symbol
_atom_site_fract_x
_atom_site_fract_y
_atom_site_fract_z
Zr1 Zr 0.000 0.000 0.000
Cd1 Cd 0.250 0.250 0.250
In1 In 0.500 0.500 0.500
In2 In 0.750 0.750 0.750
# * crystal system: cubic
# * calculated density: 7681 kg/m³
# * total DFT energy (no corrections): -14.2 eV/f.u.